[1]
Density functional theory data (PBE-GGA) for a relaxed structure of SrCrNi2.

abc: 4.7476 4.7476 4.7476
angles: 124.97 113.33 91.76
Closest atoms and distances in Å follow each position.
Sites, in units of the cell vectors:
1 Sr 0.0000 0.0000 0.0000  8 Ni 2.90-3.00
2 Cr 0.5000 0.5000 0.0000  4 Ni 2.53
3 Ni 0.3099 0.8099 0.5000  1 Ni 2.51, 2 Cr 2.53
4 Ni 0.6901 0.1901 0.5000  1 Ni 2.51, 2 Cr 2.53

## Properties
The value obtained for the total energy is -5.203 eV/atom. As for the total moment: 3.97 μB/f.u.

[2]
Density functional theory data (PBE-GGA) for a relaxed structure of SrCrNi2.

abc: 4.1563 4.1563 5.8902
angles: 110.82 110.82 60.06
Closest atoms and distances in Å follow each position.
Sites, in units of the cell vectors:
1 Sr 0.0000 0.0000 0.0000  4 Cr 3.02-3.37, 4 Ni 3.05-3.35
2 Cr 0.8120 0.8120 0.4373  6 Ni 2.41-2.50
3 Ni 0.1888 0.1888 0.5672  3 Ni 2.44, 3 Cr 2.50
4 Ni 0.4951 0.4951 0.4865  3 Cr 2.41-2.42, 3 Ni 2.44

## Properties
The value obtained for the total energy is -5.510 eV/atom. As for the total moment: 3.41 μB/f.u.

[3]
Density functional theory data (PBE-GGA) for a relaxed structure of Ta2CrNi.

abc: 3.1796 3.1796 5.9686
angles: 90.00 90.00 90.00
Closest atoms and distances in Å follow each position.
Sites, in units of the cell vectors:
1 Ta 0.0000 0.0000 0.0000  4 Ni 2.63, 1 Cr 2.80, 4 Ta 2.86
2 Ta 0.5000 0.5000 0.2967  4 Cr 2.65, 1 Ni 2.84, 4 Ta 2.86
3 Cr 0.0000 0.0000 0.5310  5 Ta 2.65-2.80, 4 Ni 2.67
4 Ni 0.5000 0.5000 0.7721  5 Ta 2.63-2.84, 4 Cr 2.67

## Properties
The value obtained for the total energy is -9.737 eV/atom. As for the total moment: 1.96 μB/f.u.

[4]
Density functional theory data (PBE-GGA) for a relaxed structure of TaCr2Ni.

abc: 9.0240 9.0240 9.0240
angles: 16.89 16.89 16.89
Closest atoms and distances in Å follow each position.
Sites, in units of the cell vectors:
1 Ta 0.0000 0.0000 0.0000  6 Ta 2.65, 6 Cr 2.88
2 Cr 0.2420 0.2420 0.2420  3 Ni 2.53, 6 Cr 2.65
3 Cr 0.7580 0.7580 0.7580  3 Ni 2.53, 6 Cr 2.65
4 Ni 0.5000 0.5000 0.5000  6 Cr 2.53, 6 Ni 2.65

## Properties
The value obtained for the total energy is -8.798 eV/atom. As for the total moment: 0.00 μB/f.u. The offset from the most stable computed form is 1.56 eV/f.u.

[5]
Density functional theory data (PBE-GGA) for a relaxed structure of Ta2CrNi.

abc: 2.7143 2.7143 8.2756
angles: 90.00 90.00 102.68
Closest atoms and distances in Å follow each position.
Sites, in units of the cell vectors:
1 Ta 0.0000 0.0000 0.0000  4 Cr 2.71-2.99, 6 Ta 2.71-2.96
2 Ta 0.5000 0.5000 0.2939  4 Ni 2.65-2.94, 6 Ta 2.71-2.96
3 Cr 0.5000 0.5000 0.7444  2 Ni 2.39
4 Ni 0.0000 0.0000 0.5405  2 Cr 2.39, 2 Ta 2.65

## Properties
The value obtained for the total energy is -9.684 eV/atom. As for the total moment: 0.00 μB/f.u.

[6]
Density functional theory data (PBE-GGA) for a relaxed structure of TaCr2Ni.

abc: 5.3839 5.3839 5.3839
angles: 101.91 101.91 125.95
Closest atoms and distances in Å follow each position.
Sites, in units of the cell vectors:
1 Ta 0.0000 0.0000 0.0000  2 Ni 2.45, 4 Cr 2.60
2 Ta 0.7500 0.2500 0.5000  2 Ni 2.45, 4 Cr 2.60
3 Cr 0.1516 0.6250 0.0266  2 Ni 2.35, 2 Cr 2.47, 2 Ta 2.60
4 Cr 0.3750 0.4016 0.5266  2 Ni 2.35, 2 Cr 2.47, 2 Ta 2.60
5 Cr 0.5984 0.1250 0.9734  2 Ni 2.35, 2 Cr 2.47, 2 Ta 2.60
6 Cr 0.8750 0.8484 0.4734  2 Ni 2.35, 2 Cr 2.47, 2 Ta 2.60
7 Ni 0.2500 0.7500 0.5000  4 Cr 2.35, 2 Ta 2.45
8 Ni 0.5000 0.5000 0.0000  4 Cr 2.35, 2 Ta 2.45

## Properties
The value obtained for the total energy is -8.586 eV/atom. As for the total moment: 0.00 μB/f.u. The offset from the most stable computed form is 2.41 eV/f.u.

[7]
Density functional theory data (PBE-GGA) for a relaxed structure of TaCr2Ni.

abc: 4.2294 4.2294 4.2294
angles: 60.00 60.00 60.00
Closest atoms and distances in Å follow each position.
Sites, in units of the cell vectors:
1 Ta 0.0000 0.0000 0.0000  8 Cr 2.59
2 Cr 0.2500 0.2500 0.2500  4 Ta 2.59, 4 Ni 2.59
3 Cr 0.7500 0.7500 0.7500  4 Ta 2.59, 4 Ni 2.59
4 Ni 0.5000 0.5000 0.5000  8 Cr 2.59

## Properties
The value obtained for the total energy is -9.002 eV/atom. As for the total moment: 2.97 μB/f.u. The offset from the most stable computed form is 0.75 eV/f.u.

[8]
Density functional theory data (PBE-GGA) for a relaxed structure of TaCrNi6.

abc: 6.2806 6.2806 10.2665
angles: 90.00 90.00 109.54
Closest atoms and distances in Å follow each position.
Sites, in units of the cell vectors:
1 Ta 0.0000 0.0000 0.2448  12 Ni 2.51-2.62
2 Ta 0.0000 0.0000 0.7552  12 Ni 2.51-2.62
3 Ta 0.2482 0.7518 0.5000  12 Ni 2.55-2.58
4 Ta 0.7518 0.2482 0.5000  12 Ni 2.55-2.58
5 Cr 0.2454 0.7546 0.0000  12 Ni 2.52-2.61
6 Cr 0.5000 0.5000 0.2435  12 Ni 2.50-2.63
7 Cr 0.5000 0.5000 0.7565  12 Ni 2.50-2.63
8 Cr 0.7546 0.2454 0.0000  12 Ni 2.52-2.61
9 Ni 0.0000 0.0000 0.0000  2 Ta 2.51, 2 Cr 2.52, 8 Ni 2.57
10 Ni 0.0000 0.0000 0.5000  4 Ta 2.55-2.62, 8 Ni 2.57
11 Ni 0.1265 0.3774 0.1241  3 Cr 2.53-2.57, 8 Ni 2.55-2.58, 1 Ta 2.55
12 Ni 0.1265 0.3774 0.8759  3 Cr 2.53-2.57, 8 Ni 2.55-2.58, 1 Ta 2.55
13 Ni 0.1279 0.3760 0.3741  8 Ni 2.55-2.59, 3 Ta 2.57-2.59, 1 Cr 2.58
14 Ni 0.1279 0.3760 0.6259  8 Ni 2.55-2.59, 3 Ta 2.57-2.59, 1 Cr 2.58
15 Ni 0.2507 0.7493 0.2497  8 Ni 2.55-2.58, 2 Cr 2.56, 2 Ta 2.57
16 Ni 0.2507 0.7493 0.7503  8 Ni 2.55-2.58, 2 Cr 2.56, 2 Ta 2.57
17 Ni 0.3760 0.1279 0.3741  8 Ni 2.55-2.59, 3 Ta 2.57-2.59, 1 Cr 2.58
18 Ni 0.3760 0.1279 0.6259  8 Ni 2.55-2.59, 3 Ta 2.57-2.59, 1 Cr 2.58
19 Ni 0.3774 0.1265 0.1241  3 Cr 2.53-2.57, 8 Ni 2.55-2.58, 1 Ta 2.55
20 Ni 0.3774 0.1265 0.8759  3 Cr 2.53-2.57, 8 Ni 2.55-2.58, 1 Ta 2.55
21 Ni 0.5000 0.5000 0.0000  4 Cr 2.50-2.61, 8 Ni 2.55
22 Ni 0.5000 0.5000 0.5000  8 Ni 2.55, 2 Ta 2.58, 2 Cr 2.63
23 Ni 0.6226 0.8735 0.1241  3 Cr 2.53-2.57, 8 Ni 2.55-2.58, 1 Ta 2.55
24 Ni 0.6226 0.8735 0.8759  3 Cr 2.53-2.57, 8 Ni 2.55-2.58, 1 Ta 2.55
25 Ni 0.6240 0.8721 0.3741  8 Ni 2.55-2.59, 3 Ta 2.57-2.59, 1 Cr 2.58
26 Ni 0.6240 0.8721 0.6259  8 Ni 2.55-2.59, 3 Ta 2.57-2.59, 1 Cr 2.58
27 Ni 0.7493 0.2507 0.2497  8 Ni 2.55-2.58, 2 Cr 2.56, 2 Ta 2.57
28 Ni 0.7493 0.2507 0.7503  8 Ni 2.55-2.58, 2 Cr 2.56, 2 Ta 2.57
29 Ni 0.8721 0.6240 0.3741  8 Ni 2.55-2.59, 3 Ta 2.57-2.59, 1 Cr 2.58
30 Ni 0.8721 0.6240 0.6259  8 Ni 2.55-2.59, 3 Ta 2.57-2.59, 1 Cr 2.58
31 Ni 0.8735 0.6226 0.1241  3 Cr 2.53-2.57, 8 Ni 2.55-2.58, 1 Ta 2.55
32 Ni 0.8735 0.6226 0.8759  3 Cr 2.53-2.57, 8 Ni 2.55-2.58, 1 Ta 2.55

## Properties
The value obtained for the total energy is -7.184 eV/atom. As for the total moment: 3.23 μB/f.u.

[9]
Density functional theory data (PBE-GGA) for a relaxed structure of TaCrNi4.

abc: 4.7237 4.7237 4.7237
angles: 60.00 60.00 60.00
Closest atoms and distances in Å follow each position.
Sites, in units of the cell vectors:
1 Ta 0.0000 0.0000 0.0000  12 Ni 2.77, 4 Cr 2.89
2 Cr 0.2500 0.2500 0.2500  12 Ni 2.77, 4 Ta 2.89
3 Ni 0.1262 0.6246 0.6246  6 Ni 2.35-2.37
4 Ni 0.6246 0.1262 0.6246  6 Ni 2.35-2.37
5 Ni 0.6246 0.6246 0.1262  6 Ni 2.35-2.37
6 Ni 0.6246 0.6246 0.6246  6 Ni 2.35-2.37

## Properties
The value obtained for the total energy is -7.572 eV/atom. As for the total moment: 4.29 μB/f.u.

[10]
Density functional theory data (PBE-GGA) for a relaxed structure of TaCr3Ni.

abc: 4.2799 4.2799 4.2799
angles: 90.00 90.00 90.00
Closest atoms and distances in Å follow each position.
Sites, in units of the cell vectors:
1 Ta 0.0000 0.0000 0.0000  12 Cr 3.03
2 Cr 0.0000 0.5000 0.5000  2 Ni 2.14
3 Cr 0.5000 0.0000 0.5000  2 Ni 2.14
4 Cr 0.5000 0.5000 0.0000  2 Ni 2.14
5 Ni 0.5000 0.5000 0.5000  6 Cr 2.14

## Properties
The value obtained for the total energy is -8.080 eV/atom. As for the total moment: 6.20 μB/f.u. The offset from the most stable computed form is 0.00 eV/f.u.

[11]
Density functional theory data (PBE-GGA) for a relaxed structure of Ta2CrNi.

abc: 4.4012 4.4012 4.4012
angles: 60.00 60.00 60.00
Closest atoms and distances in Å follow each position.
Sites, in units of the cell vectors:
1 Ta 0.0000 0.0000 0.0000  4 Ta 2.70, 4 Ni 2.70
2 Ta 0.2500 0.2500 0.2500  4 Cr 2.70, 4 Ta 2.70
3 Cr 0.5000 0.5000 0.5000  4 Ta 2.70, 4 Ni 2.70
4 Ni 0.7500 0.7500 0.7500  4 Cr 2.70, 4 Ta 2.70

## Properties
The value obtained for the total energy is -9.641 eV/atom. As for the total moment: 1.92 μB/f.u.

[12]
Density functional theory data (PBE-GGA) for a relaxed structure of Ta2CrNi.

abc: 9.2634 9.2634 9.2634
angles: 17.24 17.24 17.24
Closest atoms and distances in Å follow each position.
Sites, in units of the cell vectors:
1 Ta 0.0000 0.0000 0.0000  9 Ta 2.78-3.10, 3 Cr 2.85
2 Ta 0.2364 0.2364 0.2364  3 Ni 2.74, 6 Ta 2.78
3 Cr 0.7527 0.7527 0.7527  3 Ni 2.48, 6 Cr 2.78
4 Ni 0.4885 0.4885 0.4885  3 Cr 2.48, 3 Ta 2.74, 6 Ni 2.78

## Properties
The value obtained for the total energy is -9.439 eV/atom. As for the total moment: 0.00 μB/f.u.